[1]
CdAu2Br | GGA-PBEsol | relaxed

The structure belongs to space group P4/mmm (No. 123); the cell edges are 3.712, 3.712 and 5.791 Å and the angles 90.00°, 90.00° and 90.00°. The distinct sites, in fractional coordinates, are Cd at (0.000, 0.000, 0.000), Au at (0.500, 0.500, 0.234) and Br at (0.000, 0.000, 0.500).

For the calculated total energy, the calculation gives -2.613 eV per atom. As for the crystal system: tetragonal.



[2]
Cd2Au2Br | GGA-PBEsol | relaxed

The structure belongs to space group I4/mmm (No. 139); the cell edges are 4.200, 4.200 and 12.536 Å and the angles 90.00°, 90.00° and 90.00°. The distinct sites, in fractional coordinates, are Cd at (0.000, 0.500, 0.250), Au at (0.000, 0.000, 0.107) and Br at (0.000, 0.000, 0.500).

For the calculated total energy, the calculation gives -2.406 eV per atom. As for the crystal system: tetragonal.



[3]
La2CdAuBr | GGA-PBEsol | relaxed

The structure belongs to space group P4/mmm (No. 123); the cell edges are 5.747, 5.747 and 5.088 Å and the angles 90.00°, 90.00° and 90.00°. The distinct sites, in fractional coordinates, are La at (0.000, 0.500, 0.000), Cd at (0.000, 0.000, 0.500), Au at (0.000, 0.000, 0.000) and Br at (0.500, 0.500, 0.500).

For the calculated total energy, the calculation gives -3.901 eV per atom. As for the crystal system: tetragonal.



[4]
AuBr4Cl | GGA-PBEsol | relaxed

The structure belongs to space group F-43m (No. 216); the cell edges are 8.307, 8.307 and 8.307 Å and the angles 90.00°, 90.00° and 90.00°. The distinct sites, in fractional coordinates, are Au at (0.000, 0.000, 0.000), Br at (0.125, 0.125, 0.625) and Cl at (0.250, 0.250, 0.250).

For the calculated total energy, the calculation gives -1.485 eV per atom. As for the crystal system: cubic.